# BaCoBi2P2O10

A relaxed BaCoBi2P2O10 crystal (PBE with a Hubbard U, OQMD).

Computed properties:
**Calculated total energy**: -6.736 eV/atom
**Space group**: P2_1/c, No. 14

a = 12.009 Å, b = 5.444 Å, c = 13.773 Å
α = 90.00°, β = 105.43°, γ = 90.00°
Fractional coordinates of all 64 atoms:
Ba (0.112, 0.182, 0.371)
Ba (0.112, 0.318, 0.871)
Ba (0.888, 0.682, 0.129)
Ba (0.888, 0.818, 0.629)
Co (0.356, 0.245, 0.073)
Co (0.356, 0.255, 0.573)
Co (0.644, 0.745, 0.427)
Co (0.644, 0.755, 0.927)
Bi (0.230, 0.735, 0.153)
Bi (0.230, 0.765, 0.653)
Bi (0.466, 0.206, 0.324)
Bi (0.466, 0.294, 0.824)
Bi (0.534, 0.706, 0.176)
Bi (0.534, 0.794, 0.676)
Bi (0.770, 0.235, 0.347)
Bi (0.770, 0.265, 0.847)
P (0.073, 0.226, 0.114)
P (0.073, 0.274, 0.614)
P (0.343, 0.727, 0.422)
P (0.343, 0.773, 0.922)
P (0.657, 0.227, 0.078)
P (0.657, 0.273, 0.578)
P (0.927, 0.726, 0.386)
P (0.927, 0.774, 0.886)
O (0.042, 0.731, 0.964)
O (0.042, 0.769, 0.464)
O (0.071, 0.512, 0.676)
O (0.071, 0.988, 0.176)
O (0.100, 0.059, 0.693)
O (0.100, 0.441, 0.193)
O (0.178, 0.208, 0.067)
O (0.178, 0.292, 0.567)
O (0.260, 0.678, 0.822)
O (0.260, 0.822, 0.322)
O (0.317, 0.046, 0.938)
O (0.317, 0.454, 0.438)
O (0.319, 0.607, 0.006)
O (0.319, 0.893, 0.506)
O (0.385, 0.030, 0.701)
O (0.385, 0.470, 0.201)
O (0.394, 0.525, 0.683)
O (0.394, 0.975, 0.183)
O (0.469, 0.740, 0.919)
O (0.469, 0.760, 0.419)
O (0.531, 0.240, 0.581)
O (0.531, 0.260, 0.081)
O (0.606, 0.025, 0.817)
O (0.606, 0.475, 0.317)
O (0.615, 0.530, 0.799)
O (0.615, 0.970, 0.299)
O (0.681, 0.107, 0.494)
O (0.681, 0.393, 0.994)
O (0.683, 0.546, 0.562)
O (0.683, 0.954, 0.062)
O (0.740, 0.178, 0.678)
O (0.740, 0.322, 0.178)
O (0.822, 0.708, 0.433)
O (0.822, 0.792, 0.933)
O (0.900, 0.559, 0.807)
O (0.900, 0.941, 0.307)
O (0.929, 0.012, 0.824)
O (0.929, 0.488, 0.324)
O (0.958, 0.231, 0.536)
O (0.958, 0.269, 0.036)